Entry 1:
The following is a PBE-GGA calculation of a relaxed structure of PuNpTeSe2, from Alexandria.

DOS at the Fermi energy (states/eV/cell): 19.9
Space group: I4mm, No. 107
M_tot (μB/f.u.): 9.0

The structure in POSCAR format:
```
PuNpTeSe2
1.0
-0.885 -4.357 -0.668
3.233 -1.105 2.923
-5.712 2.875 3.947
Se Te Np Pu
2 1 1 1
direct
0.249 0.749 0.497
0.749 0.249 0.497
0.502 0.502 0.004
0.123 0.123 0.246
0.878 0.878 0.756
```



Entry 2:
The following is a PBE-GGA calculation of a relaxed structure of PuNpTeSe, from Alexandria.

DOS at the Fermi energy (states/eV/cell): 18.6
Relative energy among the computed polymorphs (eV/f.u.): 0.00
Space group: R3m, No. 160
M_tot (μB/f.u.): 10.4

The structure in POSCAR format:
```
PuNpTeSe
1.0
4.268 0.000 0.000
2.134 3.696 0.000
2.134 1.232 6.979
Te Pu Se Np
1 1 1 1
direct
0.751 0.751 0.748
0.992 0.992 0.023
0.249 0.249 0.252
0.508 0.508 0.477
```



Entry 3:
The following is a PBE-GGA calculation of a relaxed structure of PuNpTeSe, from Alexandria.

DOS at the Fermi energy (states/eV/cell): 14.0
Relative energy among the computed polymorphs (eV/f.u.): 0.61
Space group: F-43m, No. 216
M_tot (μB/f.u.): 10.9

The structure in POSCAR format:
```
PuNpTeSe
1.0
-1.655 -4.869 0.831
1.540 -3.849 -3.155
3.321 -3.619 1.735
Se Te Np Pu
1 1 1 1
direct
0.750 0.750 0.750
0.250 0.250 0.250
0.500 0.500 0.500
0.000 0.000 0.000
```



Entry 4:
The following is a PBE-GGA calculation of a relaxed structure of Tm2Pu3NpSe6, from Alexandria.

DOS at the Fermi energy (states/eV/cell): 32.4
Space group: C2/m, No. 12
M_tot (μB/f.u.): 1.4

The structure in POSCAR format:
```
Tm2Pu3NpSe6
1.0
4.074 0.000 0.000
0.000 8.174 0.284
-2.037 -2.368 8.653
Se Np Pu Tm
6 1 3 2
direct
0.332 0.910 0.664
0.668 0.090 0.336
0.670 0.578 0.341
0.330 0.422 0.659
0.003 0.250 0.005
0.997 0.750 0.995
0.500 0.000 0.000
0.166 0.834 0.332
0.500 0.500 0.000
0.834 0.166 0.668
0.165 0.331 0.330
0.835 0.669 0.670
```



| no. | ΔE_f (raw) (eV per atom) | calculated density (g cm⁻³) |
| --- | --- | --- |
| 1 | -0.875 | 9.25 |
| 2 | -1.049 | 10.37 |
| 3 | -0.895 | 11.42 |
| 4 | -1.511 | 10.16 |